[1]
{
  "formula": "SrAlO2F",
  "functional": "PBE-GGA",
  "state": "optimized geometry",
  "lattice_angstrom": [[3.8152, 0.0000, 0.0000], [0.0000, 3.8152, 0.0000], [0.0000, 0.0000, 3.8765]],
  "species": ["F", "Al", "Sr", "O", "O"],
  "frac_coords": [[0.0000, 0.0000, 0.5000], [0.0000, 0.0000, 0.0000], [0.5000, 0.5000, 0.5000], [0.5000, 0.0000, 0.0000], [0.0000, 0.5000, 0.0000]],
  "volume_a3_per_cell": 56.43,
  "e_form_raw_ev_per_fu": -15.637,
  "e_tot_ev_per_atom": -6.570,
  "space_group": "P4/mmm"
}

[2]
{
  "formula": "Ta6Al8O27F",
  "functional": "PBE-GGA",
  "state": "optimized geometry",
  "lattice_angstrom": [[-4.6357, -3.1664, -4.8789], [-0.0690, -3.5055, 8.0111], [-3.8589, 4.6929, 6.2883]],
  "species": ["O", "O", "O", "O", "O", "O", "O", "O", "O", "O", "O", "O", "O", "O", "O", "O", "O", "O", "O", "O", "O", "O", "O", "O", "O", "O", "O", "Al", "Al", "Al", "Al", "Al", "Al", "Al", "Al", "Ta", "Ta", "Ta", "Ta", "Ta", "Ta", "F"],
  "frac_coords": [[0.2367, 0.0176, 0.0405], [0.3840, 0.2489, 0.2206], [0.9382, 0.5762, 0.6013], [0.7652, 0.2364, 0.7155], [0.4736, 0.8067, 0.2893], [0.6668, 0.1297, 0.2035], [0.8989, 0.4508, 0.9228], [0.2395, 0.5187, 0.5443], [0.0473, 0.1683, 0.6410], [0.9047, 0.9471, 0.4303], [0.0481, 0.6673, 0.1468], [0.3334, 0.5521, 0.1154], [0.7626, 0.7398, 0.2128], [0.8234, 0.8672, 0.8931], [0.0843, 0.3199, 0.2950], [0.0823, 0.8182, 0.7957], [0.1911, 0.8817, 0.3556], [0.9407, 0.0769, 0.1008], [0.3875, 0.7439, 0.7247], [0.5325, 0.4700, 0.4481], [0.1856, 0.3783, 0.8564], [0.8215, 0.3704, 0.3930], [0.6272, 0.5266, 0.9993], [0.3331, 0.0498, 0.6160], [0.5294, 0.9705, 0.9447], [0.4738, 0.3141, 0.7863], [0.6221, 0.0225, 0.5043], [0.6992, 0.4278, 0.6909], [0.9992, 0.3713, 0.6270], [0.4277, 0.0275, 0.2760], [0.8745, 0.1603, 0.4116], [0.4196, 0.5180, 0.7830], [0.0008, 0.8727, 0.1289], [0.6962, 0.9368, 0.1874], [0.8827, 0.6591, 0.9219], [0.6097, 0.9823, 0.7359], [0.1074, 0.3205, 0.0716], [0.6088, 0.4855, 0.2323], [0.1104, 0.8200, 0.5692], [0.2811, 0.0713, 0.8190], [0.2826, 0.5697, 0.3223], [0.6667, 0.6393, 0.6939]],
  "volume_a3_per_cell": 440.55,
  "e_form_raw_ev_per_fu": -120.993,
  "e_tot_ev_per_atom": -8.519,
  "space_group": "P1"
}

[3]
{
  "formula": "AlTeO2F",
  "functional": "PBE-GGA",
  "state": "optimized geometry",
  "lattice_angstrom": [[-3.7531, -1.8301, 0.4202], [1.1841, -1.5778, 3.7041], [-1.6033, 3.7749, 2.1205]],
  "species": ["O", "O", "Te", "F", "Al"],
  "frac_coords": [[0.5000, 0.0000, 0.0000], [0.0000, 0.5000, 0.0000], [0.0000, 0.0000, 0.0000], [0.0000, 0.0000, 0.5000], [0.5000, 0.5000, 0.5000]],
  "volume_a3_per_cell": 81.31,
  "e_form_raw_ev_per_fu": -3.896,
  "e_tot_ev_per_atom": -4.514,
  "space_group": "P4/mmm"
}

[4]
{
  "formula": "AlTeO4F",
  "functional": "PBE-GGA",
  "state": "optimized geometry",
  "lattice_angstrom": [[5.3393, -0.2663, 0.9048], [1.5173, 5.1261, 0.9048], [2.3750, 1.6834, 7.7976]],
  "species": ["Al", "Al", "O", "O", "O", "O", "O", "O", "O", "O", "F", "F", "Te", "Te"],
  "frac_coords": [[0.1609, 0.1609, 0.8051], [0.8391, 0.8391, 0.1949], [0.1773, 0.1773, 0.5660], [0.5454, 0.1194, 0.1927], [0.1194, 0.5454, 0.1927], [0.4546, 0.8806, 0.8073], [0.8227, 0.8227, 0.4340], [0.8806, 0.4546, 0.8073], [0.5842, 0.5842, 0.2981], [0.4158, 0.4158, 0.7019], [0.0965, 0.0965, 0.0590], [0.9035, 0.9035, 0.9410], [0.6343, 0.6343, 0.6892], [0.3657, 0.3657, 0.3108]],
  "volume_a3_per_cell": 199.16,
  "e_form_raw_ev_per_fu": -12.167,
  "e_tot_ev_per_atom": -5.822,
  "space_group": "C2/m"
}

[5]
{
  "formula": "AlTeO2F",
  "functional": "PBE-GGA",
  "state": "optimized geometry",
  "lattice_angstrom": [[-1.8691, -2.1561, -2.6866], [2.3340, -3.0407, 0.8165], [-2.4396, -1.1657, 2.6328]],
  "species": ["O", "O", "F", "Te", "Al"],
  "frac_coords": [[0.5000, 0.0000, 0.0000], [0.0000, 0.5000, 0.0000], [0.0000, 0.0000, 0.5000], [0.5000, 0.5000, 0.5000], [0.0000, 0.0000, 0.0000]],
  "volume_a3_per_cell": 57.97,
  "e_form_raw_ev_per_fu": -7.849,
  "e_tot_ev_per_atom": -5.304,
  "space_group": "P4/mmm"
}

[6]
{
  "formula": "AlTlOF2",
  "functional": "PBE-GGA",
  "state": "optimized geometry",
  "lattice_angstrom": [[4.6234, 0.0000, 0.0000], [0.0000, 4.6234, 0.0000], [0.0000, 0.0000, 4.1158]],
  "species": ["O", "Tl", "F", "F", "Al"],
  "frac_coords": [[0.0000, 0.0000, 0.5000], [0.0000, 0.0000, 0.0000], [0.0000, 0.5000, 0.0000], [0.5000, 0.0000, 0.0000], [0.5000, 0.5000, 0.5000]],
  "volume_a3_per_cell": 87.98,
  "e_form_raw_ev_per_fu": -4.959,
  "e_tot_ev_per_atom": -3.954,
  "space_group": "P4/mmm"
}

[7]
{
  "formula": "AlTl2OF5",
  "functional": "PBE-GGA",
  "state": "optimized geometry",
  "lattice_angstrom": [[6.5956, -0.1029, 0.0000], [-0.2521, 6.5916, 0.0000], [0.0000, 0.0000, 7.3483]],
  "species": ["F", "F", "F", "F", "F", "F", "F", "F", "F", "F", "Tl", "Tl", "Tl", "Tl", "Al", "Al", "O", "O"],
  "frac_coords": [[0.1920, 0.8080, 0.0000], [0.1920, 0.8080, 0.5000], [0.8080, 0.1920, 0.5000], [0.8049, 0.8049, 0.5464], [0.1951, 0.1951, 0.4536], [0.8049, 0.8049, 0.9536], [0.9579, 0.9579, 0.2500], [0.1951, 0.1951, 0.0464], [0.8080, 0.1920, 0.0000], [0.0421, 0.0421, 0.7500], [0.5298, 0.1690, 0.2500], [0.8310, 0.4702, 0.7500], [0.4702, 0.8310, 0.7500], [0.1690, 0.5298, 0.2500], [0.0000, 0.0000, 0.0000], [0.0000, 0.0000, 0.5000], [0.5017, 0.5017, 0.2500], [0.4983, 0.4983, 0.7500]],
  "volume_a3_per_cell": 319.28,
  "e_form_raw_ev_per_fu": -19.396,
  "e_tot_ev_per_atom": -4.687,
  "space_group": "Cmcm"
}

[8]
{
  "formula": "AlTlO2F",
  "functional": "PBE-GGA",
  "state": "optimized geometry",
  "lattice_angstrom": [[3.8881, 0.0000, 0.0000], [0.0000, 3.8881, 0.0000], [0.0000, 0.0000, 3.7690]],
  "species": ["O", "O", "F", "Tl", "Al"],
  "frac_coords": [[0.5000, 0.0000, 0.0000], [0.0000, 0.5000, 0.0000], [0.0000, 0.0000, 0.5000], [0.5000, 0.5000, 0.5000], [0.0000, 0.0000, 0.0000]],
  "volume_a3_per_cell": 56.98,
  "e_form_raw_ev_per_fu": -9.819,
  "e_tot_ev_per_atom": -5.543,
  "space_group": "P4/mmm"
}